Density functional theory data (PBE-GGA) for a geometry-optimized Ce2BiI structure.

a = 7.881 Å, b = 7.881 Å, c = 7.881 Å
α = 90.00°, β = 90.00°, γ = 90.00°
Space group Fm-3m (No. 225)
Inequivalent atoms, fractional coordinates:
1 Ce 0.250 0.250 0.250 [8 per cell]
2 Bi 0.000 0.000 0.000 [4 per cell]
3 I 0.000 0.000 0.500 [4 per cell]

Summary:
VASP energy = -5.08 eV/atom
M_tot = 14.282 μB/cell
energy relative to the lowest polymorph listed for this composition = 43 meV/atom
formation energy without anion corrections = -0.75 eV per atom
crystal system = cubic